Material: PmNdRu2
Method: DFT, GGA-PBE
State: optimized geometry

## Properties
- ΔE to the lowest computed polymorph: 0.000 eV/atom
- Energy of formation from the pure elements: -88 meV per atom
- D(E_F): 1.24 states/eV per atom
- Raw total energy: -7.11 eV/atom
- Space group: P4/mmm
- Volume: 21.4 Å³/atom
- Density: 9.517 g/cm³

Unit cell a=3.500 b=3.500 c=7.000 alpha=90.00 beta=90.00 gamma=90.00
Sites, in units of the cell vectors:
Pm1 0.500 0.500 0.000
Ru1 0.000 0.000 0.752
Ru2 0.000 0.000 0.248
Nd1 0.500 0.500 0.500

Material: Pm2NdRu
Method: DFT, GGA-PBE
State: optimized geometry

## Properties
- ΔE to the lowest computed polymorph: 0.380 eV/atom
- Energy of formation from the pure elements: 172 meV per atom
- D(E_F): 1.73 states/eV per atom
- Raw total energy: -5.71 eV/atom
- Space group: R-3m
- Volume: 26.4 Å³/atom
- Density: 8.431 g/cm³

Unit cell a=5.577 b=5.577 c=5.068 alpha=56.62 beta=56.62 gamma=60.00
Sites, in units of the cell vectors:
Ru1 0.000 0.000 0.000
Pm1 0.234 0.234 0.298
Pm2 0.766 0.766 0.702
Nd1 0.500 0.500 0.500

Material: PmNdRu
Method: DFT, GGA-PBE
State: optimized geometry

## Properties
- ΔE to the lowest computed polymorph: 0.019 eV/atom
- Energy of formation from the pure elements: -148 meV per atom
- D(E_F): 0.63 states/eV per atom
- Raw total energy: -6.41 eV/atom
- Space group: P2_1/m
- Volume: 28.7 Å³/atom
- Density: 7.524 g/cm³

Unit cell a=4.462 b=5.493 c=7.276 alpha=104.94 beta=90.00 gamma=90.00
Sites, in units of the cell vectors:
Pm1 0.250 0.757 0.555
Pm2 0.750 0.243 0.445
Ru1 0.250 0.303 0.225
Ru2 0.750 0.697 0.775
Nd1 0.250 0.761 0.051
Nd2 0.750 0.239 0.949